Record 1
Compound: Li2ZnTe
Source: Alexandria
Functional: PBE-GGA
Structure: optimized geometry

Cell lengths 5.5123, 5.5123, 5.5123 Å; angles 136.18, 136.16, 63.71 degrees
Fractional coordinates of all 4 atoms:
Li: 0.7500 0.2500 0.5000
Zn: 0.2499 0.7499 0.5000
Te: 0.4995 0.4995 0.0000
Li: 0.0006 0.0006 0.0000

Computed properties:
Energy above the lowest structure with this stoichiometry = 76 meV per atom
Size of the total moment = 0.000 μB/f.u.



Record 2
Compound: Li2ZnTe
Source: Alexandria
Functional: PBE-GGA
Structure: optimized geometry

Cell lengths 5.4889, 5.4889, 4.1531 Å; angles 90.06, 90.06, 43.61 degrees
Fractional coordinates of all 4 atoms:
Te: 0.4640 0.4640 0.6254
Zn: 0.2756 0.2756 0.1246
Li: 0.7462 0.7462 0.6242
Li: 0.0142 0.0142 0.1258

Computed properties:
Energy above the lowest structure with this stoichiometry = 43 meV per atom
Size of the total moment = 0.000 μB/f.u.



Record 3
Compound: LiZrTe
Source: Alexandria
Functional: PBE-GGA
Structure: optimized geometry

Cell lengths 4.2520, 4.2520, 7.5153 Å; angles 90.00, 90.00, 90.00 degrees
Fractional coordinates of all 6 atoms:
Zr: 0.0000 0.0000 0.5000
Li: 0.5000 0.0000 0.1709
Li: 0.0000 0.5000 0.8291
Zr: 0.5000 0.5000 0.5000
Te: 0.5000 0.0000 0.7866
Te: 0.0000 0.5000 0.2134

Computed properties:
Energy above the lowest structure with this stoichiometry = 0 meV per atom
Size of the total moment = 0.000 μB/f.u.



Record 4
Compound: Li3ZrTe
Source: Alexandria
Functional: PBE-GGA
Structure: optimized geometry

Cell lengths 5.0711, 5.0711, 5.0711 Å; angles 90.00, 90.00, 90.00 degrees
Each line ends with the local moment (μB).
Fractional coordinates of all 5 atoms:
Li: 0.5000 0.0000 0.0000  0.01
Li: 0.0000 0.5000 0.0000  0.01
Zr: 0.5000 0.5000 0.5000  1.50
Te: 0.0000 0.0000 0.0000  0.00
Li: 0.0000 0.0000 0.5000  0.01

Computed properties:
Energy above the lowest structure with this stoichiometry = 0 meV per atom
Size of the total moment = 3.005 μB/f.u.



Record 5
Compound: LiZr4Te
Source: Alexandria
Functional: PBE-GGA
Structure: optimized geometry

Cell lengths 5.8552, 5.8552, 5.8552 Å; angles 60.00, 60.00, 60.00 degrees
Fractional coordinates of all 6 atoms:
Te: 0.0000 0.0000 0.0000
Li: 0.7500 0.7500 0.7500
Zr: 0.3767 0.3767 0.3767
Zr: 0.3767 0.8698 0.3767
Zr: 0.8698 0.3767 0.3767
Zr: 0.3767 0.3767 0.8698

Computed properties:
Raw total energy = -6.22 eV/atom
Size of the total moment = 0.000 μB/f.u.



Record 6
Compound: LiZr2Te4
Source: Alexandria
Functional: PBE-GGA
Structure: optimized geometry

Cell lengths 4.0023, 8.1520, 6.9291 Å; angles 64.97, 90.00, 75.79 degrees
Fractional coordinates of all 7 atoms:
Zr: 0.7505 0.4989 0.7415
Te: 0.3753 0.2495 0.0452
Te: 0.8788 0.2425 0.5402
Zr: 0.2495 0.5011 0.2585
Te: 0.6247 0.7505 0.9548
Li: 0.0000 0.0000 0.0000
Te: 0.1212 0.7575 0.4598

Computed properties:
Energy above the lowest structure with this stoichiometry = 0 meV per atom
Size of the total moment = 0.000 μB/f.u.



Record 7
Compound: Li3ZrTe4
Source: Alexandria
Functional: PBE-GGA
Structure: optimized geometry

Cell lengths 4.0763, 7.2574, 7.2574 Å; angles 108.22, 90.00, 90.00 degrees
Fractional coordinates of all 8 atoms:
Zr: 0.5000 0.0000 0.0000
Li: 0.0000 0.5000 0.0000
Te: 0.0000 0.7547 0.7547
Te: 0.5000 0.7539 0.2461
Li: 0.0000 0.0000 0.5000
Li: 0.5000 0.5000 0.5000
Te: 0.5000 0.2461 0.7539
Te: 0.0000 0.2453 0.2453

Computed properties:
Raw total energy = -4.17 eV/atom
Size of the total moment = 0.000 μB/f.u.



Record 8
Compound: LiZr2Te4
Source: Alexandria
Functional: PBE-GGA
Structure: optimized geometry

Cell lengths 4.0633, 7.0121, 14.5436 Å; angles 90.00, 90.00, 106.84 degrees
Fractional coordinates of all 14 atoms:
Zr: 0.8621 0.7242 0.9336
Te: 0.0530 0.1061 0.2500
Te: 0.2186 0.4372 0.6229
Te: 0.5000 0.0000 0.5000
Te: 0.7814 0.5628 0.1229
Te: 0.2186 0.4372 0.8771
Li: 0.5977 0.1955 0.7500
Zr: 0.8621 0.7242 0.5664
Zr: 0.1379 0.2758 0.0664
Te: 0.9470 0.8939 0.7500
Te: 0.7814 0.5628 0.3771
Te: 0.5000 0.0000 0.0000
Li: 0.4023 0.8045 0.2500
Zr: 0.1379 0.2758 0.4336

Computed properties:
Energy above the lowest structure with this stoichiometry = 130 meV per atom
Size of the total moment = 0.000 μB/f.u.



Number 1: calculated density 4.33 g/cm3. Number 2: calculated density 3.98 g/cm3. Number 3: calculated density 5.52 g/cm3. Number 4: calculated density 3.05 g/cm3. Number 5: calculated density 5.84 g/cm3. Number 6: calculated density 5.89 g/cm3. Number 7: calculated density 5.07 g/cm3. Number 8: calculated density 5.86 g/cm3.